1.
DFT (PBE) results for a geometry-optimized Te4S2I3 structure.

abc: 8.382 9.809 9.809
angles: 91.18 92.98 92.98
Sites, in units of the cell vectors:
Te: 0.931 0.766 0.603
Te: 0.569 0.397 0.234
Te: 0.627 0.027 0.761
Te: 0.873 0.239 0.973
Te: 0.069 0.234 0.397
Te: 0.127 0.761 0.027
Te: 0.373 0.973 0.239
Te: 0.431 0.603 0.766
I: 0.250 0.496 0.504
I: 0.750 0.504 0.496
I: 0.074 0.986 0.762
I: 0.574 0.762 0.986
I: 0.926 0.014 0.238
I: 0.426 0.238 0.014
S: 0.149 0.595 0.858
S: 0.851 0.405 0.142
S: 0.351 0.142 0.405
S: 0.649 0.858 0.595

Calculated values
The value obtained for the volume is 804 Å³/cell. The uncorrected formation energy comes out at 0.16 eV/atom. As for the symmetry: C2/c, No. 15. The mass density comes out at 3.945 g/cm3.

2.
DFT (PBE) results for a geometry-optimized FeHgRh2 structure.

abc: 3.829 2.839 6.386
angles: 63.74 90.00 90.00
Each line ends with the local moment (μB).
Sites, in units of the cell vectors:
Rh: 0.000 0.978 0.022  0.37
Rh: 0.500 0.235 0.267  0.52
Fe: 0.000 0.539 0.460  2.99
Hg: 0.500 0.748 0.751  -0.01

Calculated values
The value obtained for the volume is 62 Å³/cell. For the formation energy, the calculation gives 0.18 eV per atom. As for the symmetry: Pm, No. 6. The mass density comes out at 12.329 g/cm3.

3.
DFT (PBE) results for a geometry-optimized Ba3Ag2Pt structure.

abc: 6.013 8.761 8.899
angles: 90.00 72.24 90.00
Sites, in units of the cell vectors:
Ba: 0.875 0.000 0.282
Ba: 0.125 0.500 0.718
Ba: 0.875 0.500 0.282
Ba: 0.125 0.000 0.718
Ba: 0.500 0.750 0.000
Ba: 0.500 0.250 0.000
Pt: 0.000 0.750 0.000
Pt: 0.000 0.250 0.000
Ag: 0.342 0.750 0.403
Ag: 0.658 0.250 0.597
Ag: 0.659 0.750 0.598
Ag: 0.341 0.250 0.402

Calculated values
The value obtained for the volume is 446 Å³/cell. For the formation energy, the calculation gives -0.37 eV per atom. As for the symmetry: P2/m, No. 10. The mass density comes out at 6.121 g/cm3.

4.
DFT (PBE) results for a geometry-optimized CaPm2Mg structure.

abc: 3.639 3.639 11.946
angles: 81.24 81.24 60.00
Sites, in units of the cell vectors:
Pm: 0.258 0.258 0.227
Pm: 0.742 0.742 0.773
Ca: 0.500 0.500 0.500
Mg: 0.000 0.000 0.000

Calculated values
The value obtained for the volume is 135 Å³/cell. For the formation energy, the calculation gives 0.08 eV per atom. As for the symmetry: R-3m, No. 166. The mass density comes out at 4.363 g/cm3. The energy above the lowest structure with this stoichiometry is 78.6 meV per atom.

Question: Look up the mass density of the second one.
Answer: 12.329 g/cm3